Record 1
Compound: DyPuSc14
Source: Alexandria
Functional: PBE
Structure: optimized geometry

ΔH_f (0 K)	0.2	eV per formula unit
magnetization	10.3	Bohr magnetons per cell
raw total energy	-6.709	eV/atom
calculated density	4.32	Mg/m³

Cell: 10.383 6.659 11.505 Å, 90.00 90.00 90.00°
Space group Amm2 (No. 38)
Unique sites:
Dy (0.000, 0.000, 0.000) x2
Pu (0.000, 0.000, 0.499) x2
Sc (0.000, 0.250, 0.252) x4
Sc (0.249, 0.000, 0.666) x4
Sc (0.254, 0.246, 0.417) x8
Sc (0.256, 0.000, 0.169) x4
Sc (0.500, 0.000, 0.001) x2
Sc (0.500, 0.000, 0.501) x2
Sc (0.500, 0.250, 0.250) x4



Record 2
Compound: Na6Sn12Pb
Source: Alexandria
Functional: PBE
Structure: optimized geometry

ΔH_f (0 K)	-1.3	eV per formula unit
magnetization	0.0	Bohr magnetons per cell
raw total energy	-3.207	eV/atom
calculated density	5.30	Mg/m³

Cell: 14.0123 14.0123 9.7854 Å, 90.00 90.00 120.00°
Space group R-3 (No. 148, hexagonal axes)
Unique sites:
Na (0.0509, 0.8315, 0.2594) x18
Sn (0.0540, 0.8239, 0.9214) x18
Sn (0.0611, 0.8090, 0.6047) x18
Pb (0.0000, 0.0000, 0.5000) x3



Record 3
Compound: BaOs2
Source: Alexandria
Functional: PBE
Structure: optimized geometry

ΔH_f (0 K)	4.0	eV per formula unit
magnetization	0.0	Bohr magnetons per cell
raw total energy	-6.794	eV/atom
calculated density	14.12	Mg/m³
relative energy among the computed polymorphs	0.917	eV per atom

Cell: 2.9569 2.9569 8.0412 Å, 90.00 90.00 120.00°
Space group P-3m1 (No. 164)
Unique sites:
Ba (0.0000, 0.0000, 0.0000) x1
Os (0.3333, 0.6667, 0.3769) x2



Number 1: DOS(E_F) 58.07 states/eV per cell. Number 2: DOS(E_F) 26.97 states/eV per cell. Number 3: DOS(E_F) 4.13 states/eV per cell.